A relaxed GdDy2Ga3Si2Ni crystal, computed with GGA-PBE.

POSCAR file:
```
GdDy2Ga3Si2Ni
1.0
-1.592 -1.852 -3.369
5.301 -4.409 -0.081
-5.716 -1.527 3.540
Ga Si Dy Ni Gd
3 2 2 1 1
Direct
0.500 0.235 0.235 Ga
0.500 0.765 0.001 Ga
0.500 0.001 0.765 Ga
0.500 0.667 0.332 Si
0.500 0.332 0.667 Si
0.000 0.403 0.000 Dy
0.000 0.000 0.403 Dy
0.000 0.002 0.002 Ni
0.000 0.596 0.596 Gd
```

Output
As for the space group: Amm2, No. 38. The energy is -0.372 Ry/atom.